[1]
Sc3TaCr (PBE, relaxed); offset from the most stable computed form = 158 meV/atom; space-group type = Pm-3m, No. 221; energy = -7.093 eV per atom
1.0
5.1089 0.0000 0.0000
0.0000 5.1089 0.0000
0.0000 0.0000 5.1089
Sc Ta Cr
3 1 1
Direct
0.0000 0.0000 0.5000
0.0000 0.5000 0.0000
0.5000 0.0000 0.0000
0.0000 0.0000 0.0000
0.5000 0.5000 0.5000


[2]
ScTaCr2 (PBE, relaxed); space-group type = P4/mmm, No. 123; energy = -9.180 eV per atom
1.0
3.1881 0.0000 0.0000
0.0000 3.1881 0.0000
0.0000 0.0000 6.4397
Sc Ta Cr
1 1 2
Direct
0.0000 0.0000 0.0000
0.0000 0.0000 0.5000
0.5000 0.5000 0.2771
0.5000 0.5000 0.7229


[3]
ScTaCr2 (PBE, relaxed); space-group type = C2/m, No. 12; energy = -8.973 eV per atom
1.0
2.8455 -4.2166 0.0000
2.8455 4.2166 0.0000
-0.9313 0.0000 2.5910
Sc Ta Cr
1 1 2
Direct
0.0000 0.0000 0.0000
0.5000 0.5000 0.0000
0.0000 0.5000 0.5000
0.5000 0.0000 0.5000


[4]
ScTa2Cr (PBE, relaxed); offset from the most stable computed form = 0 meV/atom; space-group type = Immm, No. 71; energy = -9.755 eV per atom
1.0
-1.5860 2.3950 4.6511
1.5860 -2.3950 4.6511
1.5860 2.3950 -4.6511
Sc Ta Cr
1 2 1
Direct
0.0000 0.0000 0.0000
0.2806 0.7806 0.5000
0.7194 0.2194 0.5000
0.5000 0.5000 0.0000


[5]
ScTaCr4 (PBE, relaxed); space-group type = F-43m, No. 216; energy = -9.490 eV per atom
1.0
0.0000 3.4977 3.4977
3.4977 0.0000 3.4977
3.4977 3.4977 0.0000
Sc Ta Cr
1 1 4
Direct
0.0000 0.0000 0.0000
0.2500 0.2500 0.2500
0.1250 0.6250 0.6250
0.6250 0.1250 0.6250
0.6250 0.6250 0.1250
0.6250 0.6250 0.6250


[6]
ScTa2Cr (PBE, relaxed); offset from the most stable computed form = 249 meV/atom; space-group type = Pmm2, No. 25; energy = -9.507 eV per atom
1.0
2.7479 0.0000 0.0000
0.0000 4.5945 0.0000
0.0000 0.0000 5.5780
Sc Ta Cr
1 2 1
Direct
0.0000 0.0000 0.0000
0.0000 0.0000 0.5148
0.5000 0.5000 0.2659
0.5000 0.5000 0.7458


[7]
ScTaCr2 (PBE, relaxed); space-group type = Cmmm, No. 65; energy = -8.994 eV per atom
1.0
1.6062 -2.3112 0.0000
1.6062 2.3112 0.0000
0.0000 0.0000 8.5139
Sc Ta Cr
1 1 2
Direct
0.0000 0.0000 0.0000
0.0000 0.0000 0.5000
0.5000 0.5000 0.2631
0.5000 0.5000 0.7369


[8]
ScTaCr3 (PBE, relaxed); offset from the most stable computed form = 0 meV/atom; space-group type = Pm-3m, No. 221; energy = -8.183 eV per atom
1.0
4.6891 0.0000 0.0000
0.0000 4.6891 0.0000
0.0000 0.0000 4.6891
Sc Ta Cr
1 1 3
Direct
0.0000 0.0000 0.0000
0.5000 0.5000 0.5000
0.0000 0.5000 0.5000
0.5000 0.0000 0.5000
0.5000 0.5000 0.0000


[9]
ScTa2Cr (PBE, relaxed); offset from the most stable computed form = 36 meV/atom; space-group type = Cm, No. 8; energy = -9.719 eV per atom
1.0
5.2161 -1.6088 0.0000
5.2161 1.6088 0.0000
-2.0779 0.0000 4.1685
Sc Ta Cr
1 2 1
Direct
0.0000 0.0000 0.0000
0.5534 0.5534 0.5537
0.7746 0.7746 0.2750
0.2570 0.2570 0.7590


[10]
ScTa2Cr (PBE, relaxed); offset from the most stable computed form = 151 meV/atom; space-group type = R-3m, No. 166; energy = -9.604 eV per atom
1.0
1.5232 0.8794 8.9319
-1.5232 0.8794 8.9319
0.0000 -1.7589 8.9319
Sc Ta Cr
1 2 1
Direct
0.0000 0.0000 0.0000
0.2380 0.2380 0.2380
0.7620 0.7620 0.7620
0.5000 0.5000 0.5000


[11]
ScTa2Cr (PBE, relaxed); offset from the most stable computed form = 209 meV/atom; space-group type = R3m, No. 160; energy = -9.546 eV per atom
1.0
1.5294 0.8830 8.8646
-1.5294 0.8830 8.8646
0.0000 -1.7660 8.8646
Sc Ta Cr
1 2 1
Direct
0.0000 0.0000 0.0000
0.2371 0.2371 0.2371
0.4831 0.4831 0.4831
0.7487 0.7487 0.7487


[12]
ScTa2Cr (PBE, relaxed); offset from the most stable computed form = 117 meV/atom; space-group type = Pmmm, No. 47; energy = -9.638 eV per atom
1.0
3.2700 0.0000 0.0000
0.0000 4.5578 0.0000
0.0000 0.0000 4.7982
Sc Ta Cr
1 2 1
Direct
0.0000 0.0000 0.0000
0.0000 0.5000 0.5000
0.5000 0.0000 0.5000
0.5000 0.5000 0.0000


[13]
ScTa2Cr (PBE, relaxed); offset from the most stable computed form = 79 meV/atom; space-group type = P2/m, No. 10; energy = -9.677 eV per atom
1.0
2.9727 0.0000 0.0000
0.0000 4.3015 0.0000
-1.1637 0.0000 5.5025
Sc Ta Cr
1 2 1
Direct
0.0000 0.0000 0.0000
0.3004 0.5000 0.7231
0.6996 0.5000 0.2769
0.5000 0.0000 0.5000


[14]
ScTa2Cr (PBE, relaxed); offset from the most stable computed form = 158 meV/atom; space-group type = C2/m, No. 12; energy = -9.598 eV per atom
1.0
2.8114 -4.6546 0.0000
2.8114 4.6546 0.0000
-0.9218 0.0000 2.6497
Sc Ta Cr
1 2 1
Direct
0.0000 0.0000 0.0000
0.0000 0.5000 0.5000
0.5000 0.0000 0.5000
0.5000 0.5000 0.0000


[15]
ScTa2Cr (PBE, relaxed); offset from the most stable computed form = 107 meV/atom; space-group type = Pm, No. 6; energy = -9.649 eV per atom
1.0
2.8721 0.0000 0.0000
0.0000 4.4843 0.0000
-1.1994 0.0000 5.4642
Sc Ta Cr
1 2 1
Direct
0.0000 0.0000 0.0000
0.3851 0.0000 0.5272
0.6926 0.5000 0.2826
0.1967 0.5000 0.7384


[16]
ScTaCr2 (PBE, relaxed); space-group type = Cmm2, No. 35; energy = -9.064 eV per atom
1.0
1.5639 -2.3224 0.0000
1.5639 2.3224 0.0000
0.0000 0.0000 8.7139
Sc Ta Cr
1 1 2
Direct
0.0000 0.0000 0.0000
0.5000 0.5000 0.3057
0.0000 0.0000 0.5487
0.5000 0.5000 0.7395


[17]
ScTaCr2 (PBE, relaxed); space-group type = R-3m, No. 166; energy = -8.854 eV per atom
1.0
1.5149 0.8746 8.2887
-1.5149 0.8746 8.2887
0.0000 -1.7492 8.2887
Sc Ta Cr
1 1 2
Direct
0.0000 0.0000 0.0000
0.5000 0.5000 0.5000
0.2438 0.2438 0.2438
0.7562 0.7562 0.7562


[18]
ScTa2Cr (PBE, relaxed); offset from the most stable computed form = 13 meV/atom; space-group type = P4/mmm, No. 123; energy = -9.742 eV per atom
1.0
3.1331 0.0000 0.0000
0.0000 3.1331 0.0000
0.0000 0.0000 7.2176
Sc Ta Cr
1 2 1
Direct
0.0000 0.0000 0.0000
0.5000 0.5000 0.2955
0.5000 0.5000 0.7045
0.0000 0.0000 0.5000


[19]
ScTa2Cr (PBE, relaxed); offset from the most stable computed form = 131 meV/atom; space-group type = I-4m2, No. 119; energy = -9.624 eV per atom
1.0
-2.3257 2.3257 3.2991
2.3257 -2.3257 3.2991
2.3257 2.3257 -3.2991
Sc Ta Cr
1 2 1
Direct
0.0000 0.0000 0.0000
0.2500 0.7500 0.5000
0.5000 0.5000 0.0000
0.7500 0.2500 0.5000


[20]
ScTaCr2 (PBE, relaxed); space-group type = R3m, No. 160; energy = -8.961 eV per atom
1.0
1.4670 0.8470 8.6339
-1.4670 0.8470 8.6339
0.0000 -1.6940 8.6339
Sc Ta Cr
1 1 2
Direct
0.0000 0.0000 0.0000
0.2336 0.2336 0.2336
0.4846 0.4846 0.4846
0.7559 0.7559 0.7559


[21]
ScTa2Cr (PBE, relaxed); offset from the most stable computed form = 221 meV/atom; space-group type = Pmmm, No. 47; energy = -9.534 eV per atom
1.0
2.9216 0.0000 0.0000
0.0000 4.4400 0.0000
0.0000 0.0000 5.6141
Sc Ta Cr
1 2 1
Direct
0.0000 0.0000 0.0000
0.5000 0.5000 0.2577
0.5000 0.5000 0.7423
0.0000 0.0000 0.5000


[22]
ScTa2Cr (PBE, relaxed); offset from the most stable computed form = 44 meV/atom; space-group type = Cmmm, No. 65; energy = -9.712 eV per atom
1.0
1.6109 -2.4179 0.0000
1.6109 2.4179 0.0000
0.0000 0.0000 9.1172
Sc Ta Cr
1 2 1
Direct
0.0000 0.0000 0.0000
0.5000 0.5000 0.2848
0.5000 0.5000 0.7152
0.0000 0.0000 0.5000


[23]
ScTa2VCr (PBE, relaxed); space-group type = P4/mmm, No. 123; energy = -9.047 eV per atom
1.0
4.7127 0.0000 0.0000
0.0000 4.7127 0.0000
0.0000 0.0000 4.3081
Sc Ta V Cr
1 2 1 1
Direct
0.0000 0.0000 0.0000
0.0000 0.5000 0.5000
0.5000 0.0000 0.5000
0.5000 0.5000 0.0000
0.5000 0.5000 0.5000


[24]
TbScZnCr (PBE, relaxed); space-group type = F-43m, No. 216; energy = -5.449 eV per atom
1.0
0.0000 3.4714 3.4714
3.4714 0.0000 3.4714
3.4714 3.4714 0.0000
Tb Sc Zn Cr
1 1 1 1
Direct
0.0000 0.0000 0.0000
0.5000 0.5000 0.5000
0.2500 0.2500 0.2500
0.7500 0.7500 0.7500


[25]
ScCr2Tc (PBE, relaxed); offset from the most stable computed form = 21 meV/atom; space-group type = Imm2, No. 44; energy = -8.871 eV per atom
1.0
-1.5131 2.2311 4.2508
1.5131 -2.2311 4.2508
1.5131 2.2311 -4.2508
Sc Cr Tc
1 2 1
Direct
0.0000 0.0000 0.0000
0.5084 0.5084 0.0000
0.7295 0.2295 0.5000
0.2681 0.7681 0.5000


[26]
ScCrTc2 (PBE, relaxed); space-group type = Immm, No. 71; energy = -9.178 eV per atom
1.0
-1.5314 2.3018 4.2738
1.5314 -2.3018 4.2738
1.5314 2.3018 -4.2738
Sc Cr Tc
1 1 2
Direct
0.0000 0.0000 0.0000
0.5000 0.5000 0.0000
0.2682 0.7682 0.5000
0.7318 0.2318 0.5000


[27]
ScCr2Tc (PBE, relaxed); offset from the most stable computed form = 103 meV/atom; space-group type = Cmm2, No. 35; energy = -8.790 eV per atom
1.0
1.5352 -2.2310 0.0000
1.5352 2.2310 0.0000
0.0000 0.0000 8.4252
Sc Cr Tc
1 2 1
Direct
0.0000 0.0000 0.0000
0.0000 0.0000 0.5178
0.5000 0.5000 0.7250
0.5000 0.5000 0.2797


[28]
ScCrTc2 (PBE, relaxed); space-group type = P2/m, No. 10; energy = -9.127 eV per atom
1.0
2.8140 0.0000 0.0000
0.0000 4.2131 0.0000
-0.8021 0.0000 5.0632
Sc Cr Tc
1 1 2
Direct
0.0000 0.0000 0.0000
0.5000 0.0000 0.5000
0.2762 0.5000 0.7372
0.7238 0.5000 0.2628


[29]
ScCr2Tc (PBE, relaxed); offset from the most stable computed form = 19 meV/atom; space-group type = F-43m, No. 216; energy = -8.874 eV per atom
1.0
0.0000 3.0928 3.0928
3.0928 0.0000 3.0928
3.0928 3.0928 0.0000
Sc Cr Tc
1 2 1
Direct
0.0000 0.0000 0.0000
0.5000 0.5000 0.5000
0.7500 0.7500 0.7500
0.2500 0.2500 0.2500


[30]
Sc2Cr2Tc (PBE, relaxed); space-group type = P4/mbm, No. 127; energy = -8.360 eV per atom
1.0
6.0678 0.0000 0.0000
0.0000 6.0678 0.0000
0.0000 0.0000 4.5832
Sc Cr Tc
4 4 2
Direct
0.1765 0.3235 0.0000
0.3235 0.8235 0.0000
0.6765 0.1765 0.0000
0.8235 0.6765 0.0000
0.1272 0.6272 0.5000
0.3728 0.1272 0.5000
0.6272 0.8728 0.5000
0.8728 0.3728 0.5000
0.0000 0.0000 0.5000
0.5000 0.5000 0.5000